Entry 1:
The following is a GGA-PBE calculation of a geometry-optimized Pr10Sn4N3 structure, from Alexandria via LeMat-Bulk.

Cell and atoms, written as extended XYZ:
```
17
Lattice="-2.516 2.516 18.336 2.516 -2.516 18.336 2.516 2.516 -18.336" Properties=species:S:1:pos:R:3 pbc="T T T"
Pr 2.516 0.000 0.000
Pr 0.000 0.000 2.512
Pr 2.516 0.000 5.013
Pr 0.000 0.000 7.685
Pr 2.516 0.000 13.324
Pr 0.000 2.516 0.000
Pr 0.000 2.516 5.013
Pr 0.000 0.000 28.988
Pr 0.000 2.516 13.324
Pr 0.000 0.000 34.161
Sn 0.000 0.000 11.011
Sn 0.000 0.000 15.827
Sn 0.000 0.000 20.846
Sn 0.000 0.000 25.662
N 0.000 0.000 0.000
N 0.000 0.000 5.171
N 0.000 0.000 31.502
```

N(E_F) ... 0.559 states/eV/atom
Density ... 6.89 g cm⁻³
V ... 27.301 A^3/atom
Total energy ... -104.13 eV per cell

---

Entry 2:
The following is a GGA-PBE calculation of a geometry-optimized Pr12Sn6N structure, from Alexandria via LeMat-Bulk.

Cell and atoms, written as extended XYZ:
```
19
Lattice="6.184 3.570 4.725 -6.184 3.570 4.725 0.000 -7.141 4.725" Properties=species:S:1:pos:R:3 pbc="T T T"
Pr -4.122 -3.923 7.951
Pr -5.459 1.608 6.224
Pr -2.169 -0.321 5.439
Pr 1.337 -5.532 6.224
Pr 1.363 -1.717 5.439
Pr -0.806 -2.039 8.736
Pr 0.806 2.039 5.439
Pr -1.363 1.717 8.736
Pr -1.337 5.532 7.951
Pr 2.168 0.321 8.736
Pr 5.459 -1.608 7.951
Pr 4.122 3.923 6.224
Sn -1.392 -3.533 5.944
Sn -3.755 -0.561 8.231
Sn -2.363 2.972 5.944
Sn 2.363 -2.972 8.231
Sn 3.755 0.561 5.944
Sn 1.392 3.533 8.231
N 0.000 0.000 0.000
```

N(E_F) ... 0.841 states/eV/atom
Density ... 6.41 g cm⁻³
V ... 32.943 A^3/atom
Total energy ... -101.10 eV per cell

---

Entry 3:
The following is a GGA-PBE calculation of a geometry-optimized Pr6Sn2N structure, from Alexandria via LeMat-Bulk.

Cell and atoms, written as extended XYZ:
```
9
Lattice="0.000 5.073 5.073 5.073 0.000 5.073 5.073 5.073 0.000" Properties=species:S:1:pos:R:3 pbc="T T T"
Pr 5.073 5.073 2.489
Pr 5.073 2.489 5.073
Pr 7.657 5.073 5.073
Pr 2.489 5.073 5.073
Pr 5.073 7.657 5.073
Pr 5.073 5.073 7.657
Sn 2.537 2.537 2.537
Sn 7.610 7.610 7.610
N 0.000 0.000 0.000
```

N(E_F) ... 1.154 states/eV/atom
Energy relative to the lowest polymorph listed for this composition ... 0.0 meV/atom
Density ... 6.98 g cm⁻³
V ... 29.014 A^3/atom
Total energy ... -50.74 eV per cell

---

Entry 4:
The following is a GGA-PBE calculation of a geometry-optimized SrPr2SnN4 structure, from Alexandria via LeMat-Bulk.

Cell and atoms, written as extended XYZ:
```
16
Lattice="1.809 -6.297 0.000 1.809 6.297 0.000 0.000 0.000 12.690" Properties=species:S:1:pos:R:3 pbc="T T T"
Sr 1.809 4.973 9.518
Sr 1.809 -4.973 3.173
Pr 1.809 1.637 6.760
Pr 1.809 1.637 12.275
Pr 1.809 -1.637 0.415
Pr 1.809 -1.637 5.930
Sn 1.809 4.264 3.173
Sn 1.809 -4.264 9.518
N 0.000 0.000 0.000
N 0.000 0.000 6.345
N 1.809 3.015 1.530
N 1.809 3.015 4.815
N 1.809 0.807 9.518
N 1.809 -0.807 3.173
N 1.809 -3.015 7.875
N 1.809 -3.015 11.160
```

Density ... 6.25 g cm⁻³
V ... 18.073 A^3/atom
Total energy ... -108.65 eV per cell

---

Entry 5:
The following is a GGA-PBE calculation of a geometry-optimized Tb2Pr4Sn3N2 structure, from Alexandria via LeMat-Bulk.

Cell and atoms, written as extended XYZ:
```
11
Lattice="-2.451 2.451 12.820 2.451 -2.451 12.820 2.451 2.451 -12.820" Properties=species:S:1:pos:R:3 pbc="T T T"
Tb 0.000 0.000 4.974
Tb 0.000 0.000 20.665
Pr 2.451 0.000 2.206
Pr 2.451 0.000 10.614
Pr 0.000 2.451 2.206
Pr 0.000 2.451 10.614
Sn 0.000 0.000 8.216
Sn 0.000 0.000 12.820
Sn 0.000 0.000 17.424
N 0.000 0.000 2.758
N 0.000 0.000 22.881
```

N(E_F) ... 0.171 states/eV/atom
Density ... 6.82 g cm⁻³
V ... 27.994 A^3/atom
Total energy ... -66.96 eV per cell

---

Entry 6:
The following is a GGA-PBE calculation of a geometry-optimized TbPrSnN3 structure, from Alexandria via LeMat-Bulk.

Cell and atoms, written as extended XYZ:
```
12
Lattice="7.252 0.000 0.000 0.000 3.460 0.000 -0.300 0.000 8.581" Properties=species:S:1:pos:R:3 pbc="T T T"
Tb 0.884 0.865 1.156
Tb 6.068 2.595 7.425
Pr 2.316 2.595 7.074
Pr 4.637 0.865 1.507
Sn 2.249 2.595 3.601
Sn 4.703 0.865 4.980
N 0.539 0.865 7.536
N 2.492 0.865 4.958
N 2.635 2.595 1.227
N 4.317 0.865 7.354
N 4.460 2.595 3.623
N 6.413 2.595 1.045
```

N(E_F) ... 0.485 states/eV/atom
Density ... 7.10 g cm⁻³
V ... 17.942 A^3/atom
Total energy ... -84.87 eV per cell

---

Entry 7:
The following is a GGA-PBE calculation of a geometry-optimized Pr2TcSnN5 structure, from Alexandria via LeMat-Bulk.

Cell and atoms, written as extended XYZ:
```
18
Lattice="1.705 -7.162 0.000 1.705 7.162 0.000 0.000 0.000 10.288" Properties=species:S:1:pos:R:3 pbc="T T T"
Pr 1.705 5.539 5.144
Pr 1.705 5.132 1.192
Pr 1.705 -5.132 6.336
Pr 1.705 -5.539 0.000
Tc 1.705 0.342 2.761
Tc 1.705 -0.342 7.905
Sn 1.705 4.062 8.477
Sn 1.705 -4.062 3.333
N 1.705 6.585 8.728
N 1.705 3.080 4.830
N 1.705 2.506 1.981
N 1.705 1.889 8.361
N 1.705 0.111 6.128
N 1.705 -0.111 0.984
N 1.705 -1.889 3.217
N 1.705 -2.506 7.125
N 1.705 -3.080 9.974
N 1.705 -6.585 3.584
```

N(E_F) ... 0.230 states/eV/atom
Density ... 7.51 g cm⁻³
V ... 13.960 A^3/atom
Total energy ... -139.42 eV per cell

---

Entry 8:
The following is a GGA-PBE calculation of a geometry-optimized Pr2Th4Sn3N2 structure, from Alexandria via LeMat-Bulk.

Cell and atoms, written as extended XYZ:
```
11
Lattice="-2.419 2.419 13.184 2.419 -2.419 13.184 2.419 2.419 -13.184" Properties=species:S:1:pos:R:3 pbc="T T T"
Pr 0.000 0.000 5.197
Pr 0.000 0.000 21.172
Th 2.419 0.000 2.191
Th 2.419 0.000 10.993
Th 0.000 2.419 2.191
Th 0.000 2.419 10.993
Sn 0.000 0.000 8.539
Sn 0.000 0.000 13.184
Sn 0.000 0.000 17.829
N 0.000 0.000 2.595
N 0.000 0.000 23.774
```

N(E_F) ... 0.790 states/eV/atom
Density ... 8.58 g cm⁻³
V ... 28.063 A^3/atom
Total energy ... -77.66 eV per cell